Si2HI2 | PBE | optimized geometry

The structure in POSCAR format:
```
Si2HI2
1.0
-1.812 1.812 9.366
1.812 -1.812 9.366
1.812 1.812 -9.366
Si H I
2 1 2
Direct
0.250 0.750 0.500
0.750 0.250 0.500
0.000 0.000 0.000
0.386 0.386 0.000
0.614 0.614 0.000
```

## Properties
E, eV/atom: -2.779
E above lowest polymorph, eV/atom: 0.000
Symmetry: I4/mmm (139)